# GGA-PBE NdEuPb2, optimized geometry
data_NdEuPb2
_symmetry_space_group_name_H-M 'R -3 m'
_symmetry_Int_Tables_number 166
_symmetry_space_group_name_Hall '-R 3 2"'
_cell_length_a 3.9048
_cell_length_b 3.9048
_cell_length_c 30.1735
_cell_angle_alpha 90.00
_cell_angle_beta 90.00
_cell_angle_gamma 120.00
loop_
_atom_site_label
_atom_site_fract_x
_atom_site_fract_y
_atom_site_fract_z
Nd1 0.0000 0.0000 0.0000
Eu1 0.0000 0.0000 0.5000
Pb1 0.0000 0.0000 0.2506
# magnetization: 21.08 μB per cell
# formation energy from the elements: -0.383 eV/atom
# electronic total energy: -5.9974 eV per atom